# 1
First-principles (PBE) data for a geometry-optimized Zr2FePd structure, as listed in Alexandria.

Structure (CIF):
```
data_Zr2FePd
_chemical_formula_sum 'Zr2 Fe1 Pd1'
_space_group_name_H-M_alt 'P 4/m m m'
_space_group_IT_number 123
_space_group_name_Hall '-P 4 2'
_cell_length_a 3.210
_cell_length_b 3.210
_cell_length_c 6.822
_cell_angle_alpha 90.00
_cell_angle_beta 90.00
_cell_angle_gamma 90.00
loop_
_atom_site_label
_atom_site_type_symbol
_atom_site_fract_x
_atom_site_fract_y
_atom_site_fract_z
_atom_site_occupancy
Zr1 Zr 0.000 0.000 0.230 1
Fe1 Fe 0.500 0.500 0.000 1
Pd1 Pd 0.500 0.500 0.500 1
```

Values from the calculation:
Total moment ... 0.76 μB/f.u.
E_tot ... -8.09 eV/atom

---

# 2
First-principles (PBE) data for a geometry-optimized Ca2PmPaS6 structure, as listed in Alexandria.

Structure (CIF):
```
data_Ca2PmPaS6
_chemical_formula_sum 'Ca6 Pm3 Pa3 S18'
_space_group_name_H-M_alt 'R 3'
_space_group_IT_number 146
_space_group_name_Hall 'R 3'
_cell_length_a 7.0427
_cell_length_b 7.0427
_cell_length_c 18.6894
_cell_angle_alpha 90.00
_cell_angle_beta 90.00
_cell_angle_gamma 120.00
loop_
_atom_site_label
_atom_site_type_symbol
_atom_site_fract_x
_atom_site_fract_y
_atom_site_fract_z
_atom_site_occupancy
Ca1 Ca 0.0000 0.0000 0.0000 1
Ca2 Ca 0.0000 0.0000 0.4942 1
Pm1 Pm 0.0000 0.0000 0.2031 1
Pa1 Pa 0.0000 0.0000 0.6968 1
S1 S 0.0439 0.3428 0.7697 1
S2 S 0.0480 0.6781 0.2725 1
```

Values from the calculation:
Total moment ... 0.00 μB/f.u.
E_tot ... -6.19 eV/atom

---

# 3
First-principles (PBE) data for a geometry-optimized Tm2CuAg structure, as listed in Alexandria.

Structure (CIF):
```
data_Tm2CuAg
_chemical_formula_sum 'Tm2 Cu1 Ag1'
_space_group_name_H-M_alt 'P 4/m m m'
_space_group_IT_number 123
_space_group_name_Hall '-P 4 2'
_cell_length_a 3.482
_cell_length_b 3.482
_cell_length_c 7.096
_cell_angle_alpha 90.00
_cell_angle_beta 90.00
_cell_angle_gamma 90.00
loop_
_atom_site_label
_atom_site_type_symbol
_atom_site_fract_x
_atom_site_fract_y
_atom_site_fract_z
_atom_site_occupancy
Tm1 Tm 0.000 0.000 0.236 1
Cu1 Cu 0.500 0.500 0.000 1
Ag1 Ag 0.500 0.500 0.500 1
```

Values from the calculation:
Total moment ... 0.00 μB/f.u.
Distance to the lowest polymorph of the same formula ... 0.000 eV/atom
E_tot ... -4.28 eV/atom

---

# 4
First-principles (PBE) data for a geometry-optimized K4SrNi structure, as listed in Alexandria.

Structure (CIF):
```
data_K4SrNi
_chemical_formula_sum 'K16 Sr4 Ni4'
_space_group_name_H-M_alt 'F -4 3 m'
_space_group_IT_number 216
_space_group_name_Hall 'F -4 2 3'
_cell_length_a 10.859
_cell_length_b 10.859
_cell_length_c 10.859
_cell_angle_alpha 90.00
_cell_angle_beta 90.00
_cell_angle_gamma 90.00
loop_
_atom_site_label
_atom_site_type_symbol
_atom_site_fract_x
_atom_site_fract_y
_atom_site_fract_z
_atom_site_occupancy
K1 K 0.124 0.124 0.124 1
Sr1 Sr 0.000 0.000 0.500 1
Ni1 Ni 0.250 0.250 0.750 1
```

Values from the calculation:
Total moment ... 0.65 μB/f.u.
E_tot ... -1.32 eV/atom

---

# 5
First-principles (PBE) data for a geometry-optimized Dy2Ga4Pt3 structure, as listed in Alexandria.

Structure (CIF):
```
data_Dy2Ga4Pt3
_chemical_formula_sum 'Dy8 Ga16 Pt12'
_space_group_name_H-M_alt 'F m m m'
_space_group_IT_number 69
_space_group_name_Hall '-F 2 2'
_cell_length_a 5.478
_cell_length_b 9.581
_cell_length_c 12.836
_cell_angle_alpha 90.00
_cell_angle_beta 90.00
_cell_angle_gamma 90.00
loop_
_atom_site_label
_atom_site_type_symbol
_atom_site_fract_x
_atom_site_fract_y
_atom_site_fract_z
_atom_site_occupancy
Dy1 Dy 0.000 0.000 0.127 1
Ga1 Ga 0.000 0.168 0.333 1
Pt1 Pt 0.000 0.000 0.500 1
Pt2 Pt 0.250 0.250 0.000 1
```

Values from the calculation:
Total moment ... 0.00 μB/f.u.
E_tot ... -5.18 eV/atom

---

# 6
First-principles (PBE) data for a geometry-optimized AcUSe2S structure, as listed in Alexandria.

Structure (CIF):
```
data_AcUSe2S
_chemical_formula_sum 'Ac2 U2 Se4 S2'
_space_group_name_H-M_alt 'P 4/n m m'
_space_group_IT_number 129
_cell_length_a 4.295
_cell_length_b 4.295
_cell_length_c 14.789
_cell_angle_alpha 90.00
_cell_angle_beta 90.00
_cell_angle_gamma 90.00
loop_
_space_group_symop_operation_xyz
'x,y,z'
'-x,-y,-z'
'-y+1/2,x,z'
'y+1/2,-x,-z'
'-x+1/2,-y+1/2,z'
'x+1/2,y+1/2,-z'
'y,-x+1/2,z'
'-y,x+1/2,-z'
'x+1/2,-y,-z'
'-x+1/2,y,z'
'-y,-x,-z'
'y,x,z'
'-x,y+1/2,-z'
'x,-y+1/2,z'
'y+1/2,x+1/2,-z'
'-y+1/2,-x+1/2,z'
loop_
_atom_site_label
_atom_site_type_symbol
_atom_site_fract_x
_atom_site_fract_y
_atom_site_fract_z
_atom_site_occupancy
Ac1 Ac 0.250 0.250 0.135 1
U1 U 0.250 0.250 0.593 1
Se1 Se 0.250 0.250 0.396 1
Se2 Se 0.250 0.250 0.783 1
S1 S 0.250 0.750 0.000 1
```

Values from the calculation:
Total moment ... 3.18 μB/f.u.
E_tot ... -6.73 eV/atom

---

# 7
First-principles (PBE) data for a geometry-optimized Fe2Pb structure, as listed in Alexandria.

Structure (CIF):
```
data_Fe2Pb
_chemical_formula_sum 'Fe2 Pb1'
_space_group_name_H-M_alt 'P 4/m m m'
_space_group_IT_number 123
_space_group_name_Hall '-P 4 2'
_cell_length_a 3.435
_cell_length_b 3.435
_cell_length_c 4.514
_cell_angle_alpha 90.00
_cell_angle_beta 90.00
_cell_angle_gamma 90.00
loop_
_atom_site_label
_atom_site_type_symbol
_atom_site_fract_x
_atom_site_fract_y
_atom_site_fract_z
_atom_site_occupancy
Fe1 Fe 0.000 0.500 0.000 1
Pb1 Pb 0.000 0.000 0.500 1
```

Values from the calculation:
Total moment ... 4.74 μB/f.u.
E_tot ... -6.32 eV/atom

---

# 8
First-principles (PBE) data for a geometry-optimized Tb2SmAu3 structure, as listed in Alexandria.

Structure (CIF):
```
data_Tb2SmAu3
_chemical_formula_sum 'Tb2 Sm1 Au3'
_space_group_name_H-M_alt 'P 4/m m m'
_space_group_IT_number 123
_space_group_name_Hall '-P 4 2'
_cell_length_a 3.614
_cell_length_b 3.614
_cell_length_c 11.011
_cell_angle_alpha 90.00
_cell_angle_beta 90.00
_cell_angle_gamma 90.00
loop_
_atom_site_label
_atom_site_type_symbol
_atom_site_fract_x
_atom_site_fract_y
_atom_site_fract_z
_atom_site_occupancy
Tb1 Tb 0.000 0.000 0.165 1
Sm1 Sm 0.000 0.000 0.500 1
Au1 Au 0.500 0.500 0.000 1
Au2 Au 0.500 0.500 0.326 1
```

Values from the calculation:
Total moment ... 0.00 μB/f.u.
E_tot ... -4.80 eV/atom

---

- Which of these has the lowest E_tot?
  Zr2FePd

---

- total moment of number 5 (Dy2Ga4Pt3)?
  0.00 μB/f.u.

---

- The highest total moment belongs to which entry?
  Fe2Pb